This record from the Alexandria database describes a relaxed TaP2Ir crystal. The functional is GGA-PBEsol.

Values from the calculation:
- E (eV/atom) = -8.761
- SG = P4/mmm, No. 123
- magnetization (μB per atom) = 0.0000
- offset from the most stable computed form (eV/atom) = 0.077
- energy of formation (eV/atom) = -0.27
- DOS at the Fermi energy (states/eV per atom) = 0.704

Lattice parameters (Å, degrees): 3.0458 3.0458 5.9543 90.00 90.00 90.00
Closest atoms and distances in Å follow each position.
Sites, in units of the cell vectors:
Ta  0.0000  0.0000  0.0000  8 P 2.59
P  0.5000  0.5000  0.2417  4 Ta 2.59, 4 Ir 2.65, 1 P 2.88
P  0.5000  0.5000  0.7583  4 Ta 2.59, 4 Ir 2.65, 1 P 2.88
Ir  0.0000  0.0000  0.5000  8 P 2.65